1.
Below is a relaxed Cs2US5 crystal, with properties calculated at the PBE-GGA level.

## Properties
Calculated total energy ... -5.224 eV per atom
Formation energy from raw total energies ... -1.020 eV per atom
DOS at the Fermi energy ... 0.64 states/eV per cell

a b c (Å): 5.241 18.011 15.631
angles (deg): 90.00 90.00 90.00
Space group Cmcm (No. 63)
One atom of each set of equivalent atoms:
Cs: 0.000 0.155 0.087
U: 0.000 0.162 0.750
S: 0.000 0.028 0.684
S: 0.000 0.234 0.616
S: 0.000 0.327 0.250

2.
Below is a relaxed Cs5US6 crystal, with properties calculated at the PBE-GGA level.

## Properties
Calculated total energy ... -4.543 eV per atom
Formation energy from raw total energies ... -1.183 eV per atom
DOS at the Fermi energy ... 24.01 states/eV per cell

a b c (Å): 8.419 14.438 8.191
angles (deg): 90.00 110.44 90.00
Space group C2/m (No. 12)
One atom of each set of equivalent atoms:
Cs: 0.000 0.000 0.000
Cs: 0.000 0.166 0.500
Cs: 0.000 0.331 0.000
U: 0.000 0.500 0.500
S: 0.184 0.500 0.307
S: 0.191 0.374 0.696

3.
Below is a relaxed Cs4U3S10 crystal, with properties calculated at the PBE-GGA level.

## Properties
Calculated total energy ... -5.963 eV per atom
Formation energy from raw total energies ... -1.342 eV per atom
DOS at the Fermi energy ... 22.16 states/eV per cell

a b c (Å): 5.254 5.254 38.546
angles (deg): 90.00 90.00 90.00
Space group I4/mmm (No. 139)
One atom of each set of equivalent atoms:
Cs: 0.000 0.000 0.068
Cs: 0.000 0.000 0.204
U: 0.000 0.000 0.363
U: 0.000 0.000 0.500
S: 0.000 0.000 0.299
S: 0.000 0.000 0.432
S: 0.000 0.500 0.000
S: 0.000 0.500 0.136

4.
Below is a relaxed Cs2U3S8 crystal, with properties calculated at the PBE-GGA level.

## Properties
Calculated total energy ... -6.645 eV per atom
Relative energy among the computed polymorphs ... 0.0 meV per atom
Formation energy from raw total energies ... -1.369 eV per atom
DOS at the Fermi energy ... 35.93 states/eV per cell

a b c (Å): 16.762 8.146 6.966
angles (deg): 90.00 107.56 90.00
Space group C2/m (No. 12)
One atom of each set of equivalent atoms:
Cs: 0.231 0.000 0.171
U: 0.000 0.244 0.500
U: 0.000 0.500 0.000
S: 0.086 0.500 0.397
S: 0.087 0.277 0.880
S: 0.095 0.000 0.463

5.
Below is a relaxed CsU6S8 crystal, with properties calculated at the PBE-GGA level.

## Properties
Calculated total energy ... -7.851 eV per atom
Formation energy from raw total energies ... -1.077 eV per atom
DOS at the Fermi energy ... 47.96 states/eV per cell

a b c (Å): 11.2338 11.2338 12.2130
angles (deg): 90.00 90.00 120.00
Space group R-3 (No. 148, hexagonal axes)
One atom of each set of equivalent atoms:
Cs: 0.0000 0.0000 0.0000
U: 0.0444 0.1974 0.4357
S: 0.0000 0.0000 0.2921
S: 0.0066 0.6841 0.3849

6.
Below is a relaxed Cs3U2S7 crystal, with properties calculated at the PBE-GGA level.

## Properties
Calculated total energy ... -5.821 eV per atom
Formation energy from raw total energies ... -1.318 eV per atom
DOS at the Fermi energy ... 7.67 states/eV per cell

a b c (Å): 5.262 5.233 14.288
angles (deg): 90.00 100.56 90.00
Space group P2/m (No. 10)
One atom of each set of equivalent atoms:
Cs: 0.000 0.000 0.000
Cs: 0.184 0.000 0.369
U: 0.406 0.500 0.812
S: 0.093 0.500 0.186
S: 0.319 0.500 0.637
S: 0.407 0.000 0.814
S: 0.500 0.500 0.000

7.
Below is a relaxed Cs2U3S8 crystal, with properties calculated at the PBE-GGA level.

## Properties
Calculated total energy ... -6.557 eV per atom
Relative energy among the computed polymorphs ... 88.8 meV per atom
Formation energy from raw total energies ... -1.280 eV per atom
DOS at the Fermi energy ... 9.35 states/eV per cell

a b c (Å): 9.877 4.482 9.877
angles (deg): 90.00 119.87 90.00
Space group P2/m (No. 10)
One atom of each set of equivalent atoms:
Cs: 0.242 0.000 0.259
U: 0.208 0.500 0.708
U: 0.500 0.000 0.000
S: 0.094 0.500 0.406
S: 0.174 0.000 0.853
S: 0.353 0.000 0.675
S: 0.411 0.500 0.089

8.
Below is a relaxed Cs2U3S10 crystal, with properties calculated at the PBE-GGA level.

## Properties
Calculated total energy ... -6.247 eV per atom
Formation energy from raw total energies ... -1.124 eV per atom
DOS at the Fermi energy ... 12.62 states/eV per cell

a b c (Å): 24.110 7.947 10.363
angles (deg): 90.00 112.28 90.00
Space group C2/m (No. 12)
One atom of each set of equivalent atoms:
Cs: 0.118 0.000 0.222
Cs: 0.219 0.000 0.813
U: 0.000 0.249 0.500
U: 0.077 0.500 0.973
U: 0.181 0.500 0.509
S: 0.000 0.290 0.000
S: 0.022 0.000 0.668
S: 0.023 0.500 0.677
S: 0.107 0.252 0.517
S: 0.133 0.500 0.251
S: 0.141 0.273 0.964
S: 0.222 0.500 0.756
S: 0.250 0.250 0.500

9.
Below is a relaxed Cs3U2S4 crystal, with properties calculated at the PBE-GGA level.

## Properties
Calculated total energy ... -5.676 eV per atom
Formation energy from raw total energies ... -1.048 eV per atom
DOS at the Fermi energy ... 6.90 states/eV per cell

a b c (Å): 17.107 3.971 10.420
angles (deg): 90.00 120.35 90.00
Space group C2/m (No. 12)
One atom of each set of equivalent atoms:
Cs: 0.000 0.000 0.000
Cs: 0.121 0.500 0.744
U: 0.216 0.500 0.406
S: 0.099 0.000 0.395
S: 0.189 0.500 0.144

10.
Below is a relaxed CsU2S4 crystal, with properties calculated at the PBE-GGA level.

## Properties
Calculated total energy ... -7.143 eV per atom
Relative energy among the computed polymorphs ... 0.0 meV per atom
Formation energy from raw total energies ... -1.438 eV per atom
DOS at the Fermi energy ... 7.80 states/eV per cell

a b c (Å): 6.890 4.051 8.716
angles (deg): 90.00 105.56 90.00
Space group P2/m (No. 10)
One atom of each set of equivalent atoms:
Cs: 0.000 0.000 0.000
U: 0.000 0.500 0.500
U: 0.500 0.000 0.500
S: 0.223 0.000 0.672
S: 0.275 0.500 0.325

11.
Below is a relaxed CsUS2 crystal, with properties calculated at the PBE-GGA level.

## Properties
Calculated total energy ... -6.420 eV per atom
Formation energy from raw total energies ... -1.320 eV per atom
DOS at the Fermi energy ... 12.14 states/eV per cell

a b c (Å): 4.0743 4.0743 24.7072
angles (deg): 90.00 90.00 120.00
Space group R3m (No. 160, hexagonal axes)
One atom of each set of equivalent atoms:
Cs: 0.0000 0.0000 0.0000
U: 0.0000 0.0000 0.8297
S: 0.0000 0.0000 0.2241
S: 0.0000 0.0000 0.4354

12.
Below is a relaxed CsU2S4 crystal, with properties calculated at the PBE-GGA level.

## Properties
Calculated total energy ... -7.068 eV per atom
Relative energy among the computed polymorphs ... 75.1 meV per atom
Formation energy from raw total energies ... -1.362 eV per atom
DOS at the Fermi energy ... 45.46 states/eV per cell

a b c (Å): 4.069 13.497 14.094
angles (deg): 90.00 90.00 90.00
Space group Cmcm (No. 63)
One atom of each set of equivalent atoms:
Cs: 0.000 0.107 0.250
U: 0.000 0.367 0.064
S: 0.000 0.000 0.000
S: 0.000 0.260 0.599
S: 0.000 0.404 0.250

13.
Below is a relaxed Cs2UVS4 crystal, with properties calculated at the PBE-GGA level.

## Properties
Calculated total energy ... -5.847 eV per atom
Formation energy from raw total energies ... -1.019 eV per atom
DOS at the Fermi energy ... 79.70 states/eV per cell

a b c (Å): 6.417 14.581 25.845
angles (deg): 90.00 90.00 90.00
Space group Fddd (No. 70, origin choice 2)
One atom of each set of equivalent atoms:
Cs: 0.125 0.125 0.304
U: 0.125 0.125 0.125
V: 0.125 0.125 0.625
S: 0.096 0.280 0.827

14.
Below is a relaxed CsUVS4 crystal, with properties calculated at the PBE-GGA level.

## Properties
Calculated total energy ... -6.590 eV per atom
Formation energy from raw total energies ... -1.195 eV per atom
DOS at the Fermi energy ... 14.04 states/eV per cell

a b c (Å): 6.485 6.604 9.593
angles (deg): 90.00 108.84 90.00
Space group P2_1/m (No. 11)
One atom of each set of equivalent atoms:
Cs: 0.232 0.250 0.439
U: 0.277 0.250 0.951
V: 0.275 0.750 0.157
S: 0.055 0.750 0.928
S: 0.066 0.750 0.303
S: 0.486 0.508 0.811

15.
Below is a relaxed Cs2UWS6 crystal, with properties calculated at the PBE-GGA level.

## Properties
Calculated total energy ... -6.130 eV per atom
Formation energy from raw total energies ... -1.059 eV per atom
DOS at the Fermi energy ... 17.73 states/eV per cell

a b c (Å): 7.3295 7.3295 34.9753
angles (deg): 90.00 90.00 120.00
Space group R-3m (No. 166, hexagonal axes)
One atom of each set of equivalent atoms:
Cs: 0.0000 0.0000 0.1272
Cs: 0.0000 0.0000 0.2882
U: 0.0000 0.0000 0.4115
W: 0.0000 0.0000 0.0000
W: 0.0000 0.0000 0.5000
S: 0.0151 0.5075 0.7060
S: 0.0237 0.5119 0.1261

16.
Below is a relaxed Cs3Y2US6 crystal, with properties calculated at the PBE-GGA level.

## Properties
Calculated total energy ... -5.946 eV per atom
Formation energy from raw total energies ... -1.650 eV per atom
DOS at the Fermi energy ... 16.09 states/eV per cell

a b c (Å): 7.143 12.379 8.416
angles (deg): 90.00 106.46 90.00
Space group C2/m (No. 12)
One atom of each set of equivalent atoms:
Cs: 0.000 0.000 0.000
Cs: 0.000 0.332 0.000
Y: 0.000 0.167 0.500
U: 0.000 0.500 0.500
S: 0.227 0.000 0.682
S: 0.228 0.333 0.682

17.
Below is a relaxed CsYUS4 crystal, with properties calculated at the PBE-GGA level.

## Properties
Calculated total energy ... -6.556 eV per atom
Formation energy from raw total energies ... -1.540 eV per atom
DOS at the Fermi energy ... 19.36 states/eV per cell

a b c (Å): 8.590 8.727 11.917
angles (deg): 90.00 90.00 90.00
Space group Imma (No. 74)
One atom of each set of equivalent atoms:
Cs: 0.000 0.250 0.128
Y: 0.000 0.000 0.500
U: 0.250 0.250 0.750
S: 0.000 0.056 0.731
S: 0.202 0.250 0.525

18.
Below is a relaxed Cs2YUS6 crystal, with properties calculated at the PBE-GGA level.

## Properties
Calculated total energy ... -5.787 eV per atom
Formation energy from raw total energies ... -1.364 eV per atom
DOS at the Fermi energy ... 14.26 states/eV per cell

a b c (Å): 7.480 10.577 7.480
angles (deg): 90.00 90.00 90.00
Space group Pmmn (No. 59, origin choice 2)
One atom of each set of equivalent atoms:
Cs: 0.250 0.000 0.250
Y: 0.250 0.250 0.749
U: 0.250 0.750 0.751
S: 0.009 0.750 0.509
S: 0.009 0.750 0.992
S: 0.250 0.509 0.751

19.
Below is a relaxed Cs2Y2US6 crystal, with properties calculated at the PBE-GGA level.

## Properties
Calculated total energy ... -6.354 eV per atom
Formation energy from raw total energies ... -1.746 eV per atom
DOS at the Fermi energy ... 13.90 states/eV per cell

a b c (Å): 7.010 12.136 8.593
angles (deg): 90.00 106.20 90.00
Space group C2/m (No. 12)
One atom of each set of equivalent atoms:
Cs: 0.000 0.169 0.000
Y: 0.000 0.333 0.500
U: 0.000 0.000 0.500
S: 0.224 0.164 0.677
S: 0.234 0.500 0.676